Tb5Ho3Er2 | GGA-PBE | relaxed

The space group is Ibam (No. 72) and the conventional cell measures 10.9722, 17.5851 and 6.6967 Å, with angles of 90.00, 90.00 and 90.00 degrees. The inequivalent atoms are Tb at (0.0000, 0.0000, 0.2500), Tb at (0.0000, 0.3175, 0.2500), Tb at (0.1076, 0.1704, 0.0000), Ho at (0.0000, 0.5000, 0.2500), Ho at (0.2066, 0.1695, 0.5000) and Er at (0.2358, 0.4761, 0.5000).

The crystal system is orthorhombic. For the formation energy, the calculation gives 271 meV/atom. For the final energy, the calculation gives -4.330 eV per atom. The calculation puts the energy above the most stable polymorph in this dataset at 68 meV per atom.

=====

HgBRuN | GGA-PBE | relaxed

The space group is Cm (No. 8) and the conventional cell measures 10.2635, 2.8185 and 4.3503 Å, with angles of 90.00, 91.09 and 90.00 degrees. The inequivalent atoms are Hg at (0.0000, 0.0000, 0.0000), B at (0.2319, 0.5000, 0.2363), Ru at (0.2653, 0.0000, 0.8636) and N at (0.2232, 0.5000, 0.5490).

The crystal system is monoclinic. The formation energy (no corrections) comes out at 220 meV per atom. For the final energy, the calculation gives -5.925 eV per atom. The calculation puts the energy above the most stable polymorph in this dataset at 223 meV per atom.

=====

Y7HoSc2 | GGA-PBE | relaxed

The space group is Cmmm (No. 65) and the conventional cell measures 6.3831, 28.7641 and 3.3951 Å, with angles of 90.00, 90.00 and 90.00 degrees. The inequivalent atoms are Y at (0.0000, 0.0000, 0.0000), Y at (0.0000, 0.1944, 0.5000), Y at (0.2433, 0.3982, 0.0000), Ho at (0.0000, 0.5000, 0.5000) and Sc at (0.0000, 0.2952, 0.0000).

The crystal system is orthorhombic. For the formation energy, the calculation gives 245 meV/atom. For the final energy, the calculation gives -6.004 eV per atom.

=====

RbGaB3 | GGA-PBE | relaxed

The space group is Pm-3m (No. 221) and the conventional cell measures 4.4632, 4.4632 and 4.4632 Å, with angles of 90.00, 90.00 and 90.00 degrees. The inequivalent atoms are Rb at (0.0000, 0.0000, 0.0000), Ga at (0.5000, 0.5000, 0.5000) and B at (0.0000, 0.5000, 0.5000).

The crystal system is cubic. For the formation energy, the calculation gives 1819 meV/atom. For the final energy, the calculation gives -2.987 eV per atom. The calculation puts the energy above the most stable polymorph in this dataset at 0 meV per atom.

=====

TlCd3Co | GGA-PBE | relaxed

The space group is Pm-3m (No. 221) and the conventional cell measures 5.0365, 5.0365 and 5.0365 Å, with angles of 90.00, 90.00 and 90.00 degrees. The inequivalent atoms are Tl at (0.0000, 0.0000, 0.0000), Cd at (0.0000, 0.5000, 0.5000) and Co at (0.5000, 0.5000, 0.5000).

The crystal system is cubic. For the formation energy, the calculation gives 308 meV/atom. For the final energy, the calculation gives -2.136 eV per atom. The calculation puts the energy above the most stable polymorph in this dataset at 0 meV per atom.

=====

SrNi4SbAs2 | GGA-PBE | relaxed

The space group is P4/mmm (No. 123) and the conventional cell measures 4.0072, 4.0072 and 9.0004 Å, with angles of 90.00, 90.00 and 90.00 degrees. The inequivalent atoms are Sr at (0.0000, 0.0000, 0.0000), Ni at (0.0000, 0.5000, 0.3230), Sb at (0.0000, 0.0000, 0.5000) and As at (0.5000, 0.5000, 0.1902).

The crystal system is tetragonal. The formation energy (no corrections) comes out at -423 meV per atom. For the final energy, the calculation gives -5.202 eV per atom.